First-principles (SCAN) data for K4NaCl5 at its PBEsol-relaxed geometry, as listed in Alexandria.

Cell and atoms, written as POSCAR:
```
K4NaCl5
1.0
-1.672 -3.837 -1.198
1.351 0.686 -4.081
13.436 -5.226 5.889
Cl K Na
5 4 1
Direct
0.699 0.699 0.398
0.500 0.500 0.000
0.093 0.093 0.186
0.907 0.907 0.814
0.301 0.301 0.602
0.402 0.402 0.804
0.598 0.598 0.196
0.802 0.802 0.603
0.198 0.198 0.397
0.000 0.000 0.000
```

Values from the calculation:
total DFT energy (no corrections) = -9.8786 eV/atom
total magnetization = 0.00 Bohr magnetons per cell
polymorph energy (0 for the lowest one) = 0.0044 eV per atom
raw formation energy = -2137 meV per atom
space-group type = No. 139

---

First-principles (SCAN) data for InCuBiF2 at its PBEsol-relaxed geometry, as listed in Alexandria.

Cell and atoms, written as POSCAR:
```
InCuBiF2
1.0
-2.095 1.982 2.973
-3.506 -1.806 -1.267
0.881 -4.033 3.310
F Cu In Bi
2 1 1 1
Direct
0.000 0.500 0.000
0.500 0.000 0.000
0.000 0.000 0.000
0.000 0.000 0.500
0.500 0.500 0.500
```

Values from the calculation:
total DFT energy (no corrections) = -27.6071 eV/atom
total magnetization = 0.00 Bohr magnetons per cell
raw formation energy = -758 meV per atom
space-group type = No. 123

---

First-principles (SCAN) data for Ir2RuW at its PBEsol-relaxed geometry, as listed in Alexandria.

Cell and atoms, written as POSCAR:
```
Ir2RuW
1.0
-2.255 2.421 1.988
-2.788 -2.669 0.088
3.934 -1.244 2.230
Ru Ir W
1 2 1
Direct
0.500 0.500 0.000
0.250 0.750 0.500
0.000 0.000 0.000
0.750 0.250 0.500
```

Values from the calculation:
formation energy from the elements = -0.240 eV per atom
total DFT energy (no corrections) = -61.9184 eV/atom
total magnetization = 0.00 Bohr magnetons per cell
polymorph energy (0 for the lowest one) = 0.0990 eV per atom
space-group type = No. 119

---

First-principles (SCAN) data for ZnSiSe2 at its PBEsol-relaxed geometry, as listed in Alexandria.

Cell and atoms, written as POSCAR:
```
ZnSiSe2
1.0
3.475 0.000 0.000
0.000 3.772 0.030
-1.737 -0.195 5.979
Se Si Zn
2 1 1
Direct
0.972 0.130 0.945
0.218 0.656 0.435
0.543 0.555 0.086
0.767 0.159 0.534
```

Values from the calculation:
total DFT energy (no corrections) = -15.9394 eV/atom
total magnetization = 0.00 Bohr magnetons per cell
raw formation energy = -17 meV per atom
space-group type = No. 8